Record 1
This record from Alexandria via LeMat-Bulk describes a relaxed structure of Y3HPt. The functional is GGA-PBE.

a = 4.684 Å, b = 4.684 Å, c = 4.684 Å
α = 90.00°, β = 90.00°, γ = 90.00°
Space group Pm-3m (No. 221)
Unique sites:
Y: 0.000 0.000 0.500 x3
H: 0.000 0.000 0.000 x1
Pt: 0.500 0.500 0.500 x1

size of the total moment: 0.00 μB/atom
calculated total energy: -6.184 eV per atom
relative energy among the computed polymorphs: 0 meV per atom

Record 2
This record from Alexandria via LeMat-Bulk describes a relaxed structure of Y6HPt2. The functional is GGA-PBE.

a = 6.462 Å, b = 7.068 Å, c = 11.647 Å
α = 90.00°, β = 123.48°, γ = 90.00°
Space group P2_1/c (No. 14)
Unique sites:
Y: 0.112 0.027 0.251 x4
Y: 0.238 0.676 0.062 x4
Y: 0.386 0.178 0.061 x4
H: 0.000 0.000 0.000 x2
Pt: 0.308 0.116 0.750 x4

size of the total moment: 0.00 μB/atom
calculated total energy: -6.735 eV per atom

Record 3
This record from Alexandria via LeMat-Bulk describes a relaxed structure of YHPt. The functional is GGA-PBE.

a = 10.498 Å, b = 17.077 Å, c = 10.448 Å
α = 90.00°, β = 118.10°, γ = 90.00°
Space group Cm (No. 8)
Unique sites:
Y: 0.000 0.000 0.000 x2
Y: 0.016 0.500 0.478 x2
Y: 0.086 0.384 0.791 x4
Y: 0.105 0.122 0.781 x4
Y: 0.226 0.000 0.592 x2
Y: 0.267 0.396 0.394 x4
Y: 0.296 0.254 0.637 x4
Y: 0.327 0.126 0.184 x4
Y: 0.441 0.292 0.011 x4
Y: 0.443 0.000 0.996 x2
H: 0.013 0.237 0.827 x4
H: 0.017 0.000 0.795 x2
H: 0.083 0.121 0.990 x4
H: 0.140 0.500 0.718 x2
H: 0.221 0.500 0.481 x2
H: 0.228 0.000 0.798 x2
H: 0.235 0.276 0.810 x4
H: 0.261 0.066 0.983 x4
H: 0.370 0.376 0.653 x4
H: 0.464 0.000 0.794 x2
H: 0.467 0.000 0.232 x2
Pt: 0.034 0.319 0.457 x4
Pt: 0.066 0.147 0.496 x4
Pt: 0.070 0.351 0.076 x4
Pt: 0.151 0.238 0.307 x4
Pt: 0.201 0.000 0.287 x2
Pt: 0.303 0.421 0.071 x4
Pt: 0.326 0.122 0.493 x4
Pt: 0.358 0.290 0.236 x4
Pt: 0.446 0.500 0.331 x2

size of the total moment: 0.00 μB/atom
calculated total energy: -5.979 eV per atom
relative energy among the computed polymorphs: 184 meV per atom

Record 4
This record from Alexandria via LeMat-Bulk describes a relaxed structure of Y3H12Pt5. The functional is GGA-PBE.

a = 11.902 Å, b = 11.902 Å, c = 11.902 Å
α = 90.00°, β = 90.00°, γ = 90.00°
Space group Ia-3d (No. 230)
Unique sites:
Y: 0.000 0.250 0.125 x24
H: 0.034 0.048 0.642 x96
Pt: 0.000 0.000 0.000 x16
Pt: 0.000 0.250 0.375 x24

size of the total moment: 0.00 μB/atom
calculated total energy: -4.811 eV per atom

Record 5
This record from Alexandria via LeMat-Bulk describes a relaxed structure of YH12Pt6. The functional is GGA-PBE.

a = 10.2730 Å, b = 10.2730 Å, c = 5.7380 Å
α = 90.00°, β = 90.00°, γ = 120.00°
Space group R-3 (No. 148, hexagonal axes)
Unique sites:
Y: 0.0000 0.0000 0.0000 x3
H: 0.0380 0.4208 0.6031 x18
H: 0.0752 0.1772 0.3570 x18
Pt: 0.0688 0.2438 0.6577 x18

size of the total moment: 0.00 μB/atom
calculated total energy: -4.480 eV per atom

Record 6
This record from Alexandria via LeMat-Bulk describes a relaxed structure of YH2Pt2. The functional is GGA-PBE.

a = 6.140 Å, b = 6.140 Å, c = 3.645 Å
α = 90.00°, β = 90.00°, γ = 90.00°
Space group P4/mbm (No. 127)
Unique sites:
Y: 0.000 0.000 0.000 x2
H: 0.145 0.355 0.000 x4
Pt: 0.153 0.347 0.500 x4

size of the total moment: 0.00 μB/atom
calculated total energy: -5.632 eV per atom
relative energy among the computed polymorphs: 0 meV per atom

Record 7
This record from Alexandria via LeMat-Bulk describes a relaxed structure of YH4Pt2. The functional is GGA-PBE.

a = 6.060 Å, b = 6.060 Å, c = 7.782 Å
α = 90.00°, β = 90.00°, γ = 90.00°
Space group I4_1/amd (No. 141, origin choice 2)
Unique sites:
Y: 0.000 0.250 0.375 x4
H: 0.000 0.105 0.670 x16
Pt: 0.000 0.000 0.000 x8

size of the total moment: 0.00 μB/atom
calculated total energy: -4.761 eV per atom

Record 8
This record from Alexandria via LeMat-Bulk describes a relaxed structure of YH4Pt. The functional is GGA-PBE.

a = 7.629 Å, b = 4.540 Å, c = 4.093 Å
α = 90.00°, β = 122.23°, γ = 90.00°
Space group C2/m (No. 12)
Unique sites:
Y: 0.000 0.000 0.000 x2
H: 0.176 0.230 0.677 x8
Pt: 0.000 0.500 0.500 x2

size of the total moment: 0.00 μB/atom
calculated total energy: -4.802 eV per atom